! Rb2NbCdO, optimized geometry, DFT PBE; values from VASP
! - symmetry = P4/mmm, No. 123
! - total energy (eV/atom) = -3.70
! - magnetic moment (μB/f.u.) = 2.22
&SYSTEM
  ibrav = 0, nat = 5, ntyp = 4
/
ATOMIC_SPECIES
Cd 112.41 Cd.upf
Rb 85.47 Rb.upf
O 16.00 O.upf
Nb 92.91 Nb.upf
CELL_PARAMETERS angstrom
-2.4555 -4.0515 5.6186
1.8074 -3.1695 -1.4957
6.0528 1.6439 3.8306
ATOMIC_POSITIONS crystal
Cd 0.5000 0.5000 0.5000
Rb 0.0000 0.0000 0.5000
Rb 0.5000 0.0000 0.0000
O 0.0000 0.5000 0.0000
Nb 0.0000 0.0000 0.0000